1.
## AlNi5Bi (PBE)

Data for a relaxed AlNi5Bi crystal.

## Properties
Energy = -5.27 eV per atom
Crystal system = tetragonal

```
AlNi5Bi
1.0
3.645 0.000 0.000
0.000 3.645 0.000
0.000 0.000 7.183
Al Ni Bi
1 5 1
direct
0.000 0.000 0.000 Al
0.000 0.500 0.232 Ni
0.000 0.500 0.768 Ni
0.500 0.000 0.232 Ni
0.500 0.000 0.768 Ni
0.500 0.500 0.000 Ni
0.500 0.500 0.500 Bi
```

2.
## Pu2C (PBE)

Data for a relaxed Pu2C crystal.

## Properties
Energy = -11.37 eV per atom
Crystal system = cubic

```
Pu2C
1.0
0.000 5.250 5.250
5.250 0.000 5.250
5.250 5.250 0.000
Pu C
4 2
direct
0.000 0.000 0.000 Pu
0.000 0.000 0.500 Pu
0.000 0.500 0.000 Pu
0.500 0.000 0.000 Pu
0.125 0.125 0.125 C
0.875 0.875 0.875 C
```

3.
## Fe4C3 (PBE)

Data for a relaxed Fe4C3 crystal.

## Properties
Energy = -8.35 eV per atom
Crystal system = cubic

```
Fe4C3
1.0
-3.098 3.098 3.098
3.098 -3.098 3.098
3.098 3.098 -3.098
Fe C
8 6
direct
0.000 0.425 0.500 Fe
0.000 0.925 0.500 Fe
0.075 0.075 0.075 Fe
0.425 0.500 0.000 Fe
0.500 0.000 0.425 Fe
0.500 0.000 0.925 Fe
0.575 0.575 0.575 Fe
0.925 0.500 0.000 Fe
0.125 0.750 0.875 C
0.250 0.625 0.375 C
0.375 0.250 0.625 C
0.625 0.375 0.250 C
0.750 0.875 0.125 C
0.875 0.125 0.750 C
```

4.
## Tb2ErGa3CoGe2 (PBE)

Data for a relaxed Tb2ErGa3CoGe2 crystal.

## Properties
Energy = -5.06 eV per atom
Crystal system = orthorhombic

```
Tb2ErGa3CoGe2
1.0
4.136 0.000 0.000
0.000 6.012 3.480
0.000 -6.012 3.480
Tb Er Ga Co Ge
2 1 3 1 2
direct
0.000 0.200 0.800 Tb
0.000 0.800 0.200 Tb
0.000 0.599 0.599 Er
0.500 0.202 0.430 Ga
0.500 0.430 0.202 Ga
0.500 0.971 0.971 Ga
0.000 0.203 0.203 Co
0.500 0.534 0.865 Ge
0.500 0.865 0.534 Ge
```

5.
## ZnGeMo2 (PBE)

Data for a relaxed ZnGeMo2 crystal.

## Properties
Energy = -6.66 eV per atom
Crystal system = cubic

```
ZnGeMo2
1.0
0.000 3.122 3.122
3.122 0.000 3.122
3.122 3.122 0.000
Zn Ge Mo
1 1 2
direct
0.000 0.000 0.000 Zn
0.750 0.750 0.750 Ge
0.250 0.250 0.250 Mo
0.500 0.500 0.500 Mo
```

6.
## HfZnCdCu (PBE)

Data for a relaxed HfZnCdCu crystal.

## Properties
Energy = -3.92 eV per atom
Energy above the lowest structure with this stoichiometry = 0.000 eV/atom
Crystal system = cubic
Formation energy from the elements = 0.03 eV/atom

```
HfZnCdCu
1.0
0.000 3.239 3.239
3.239 0.000 3.239
3.239 3.239 0.000
Hf Zn Cd Cu
1 1 1 1
direct
0.000 0.000 0.000 Hf
0.500 0.500 0.500 Zn
0.250 0.250 0.250 Cd
0.750 0.750 0.750 Cu
```